1.
Computed, not measured: a relaxed structure of K2Cu2AgF7 at the GGA-PBE level of DFT.

SG: I4/mmm
Total magnetic moment in μB/f.u.: 1.84
Formation energy from raw total energies in eV per atom: -1.8732

Cell: 4.070 4.070 10.920 Å, 79.26 79.26 89.99°
Fractional coordinates of all 12 atoms:
F 0.500 0.500 0.000
F 0.093 0.593 0.815
F 0.593 0.093 0.815
F 0.907 0.407 0.185
F 0.691 0.691 0.618
F 0.407 0.907 0.185
F 0.309 0.309 0.382
K 0.816 0.816 0.366
K 0.184 0.184 0.634
Ag 0.000 0.000 0.000
Cu 0.405 0.405 0.189
Cu 0.595 0.595 0.811

2.
Computed, not measured: a relaxed structure of K4Cu3AgF12 at the GGA-PBE level of DFT.

SG: Im-3m
Total magnetic moment in μB/f.u.: 0.00
Formation energy from raw total energies in eV per atom: -2.0531

Cell: 7.198 7.198 7.198 Å, 109.47 109.47 109.47°
Fractional coordinates of all 20 atoms:
F 0.269 0.269 0.000
F 0.750 0.500 0.250
F 0.000 0.269 0.269
F 0.500 0.250 0.750
F 0.269 0.000 0.269
F 0.250 0.500 0.750
F 0.731 0.000 0.731
F 0.500 0.750 0.250
F 0.000 0.731 0.731
F 0.731 0.731 0.000
F 0.750 0.250 0.500
F 0.250 0.750 0.500
Cu 0.500 0.000 0.500
Cu 0.000 0.500 0.500
Cu 0.500 0.500 0.000
Ag 0.000 0.000 0.000
K 0.500 0.500 0.500
K 0.000 0.000 0.500
K 0.500 0.000 0.000
K 0.000 0.500 0.000

3.
Computed, not measured: a relaxed structure of K2CuAgF at the GGA-PBE level of DFT.

SG: P4/mmm
Total magnetic moment in μB/f.u.: 0.00
Formation energy from raw total energies in eV per atom: -0.5426

Cell: 5.432 5.432 4.445 Å, 90.00 90.00 90.00°
Fractional coordinates of all 5 atoms:
K 0.500 0.000 0.000
K 0.000 0.500 0.000
F 0.000 0.000 0.000
Cu 0.000 0.000 0.500
Ag 0.500 0.500 0.500

4.
Computed, not measured: a relaxed structure of KCuAg2F6 at the GGA-PBE level of DFT.

SG: P2_1/c
Total magnetic moment in μB/f.u.: 0.66
Formation energy from raw total energies in eV per atom: -1.5784

Cell: 5.963 5.884 9.253 Å, 90.00 98.02 90.00°
Fractional coordinates of all 20 atoms:
F 0.689 0.231 0.596
F 0.300 0.222 0.404
F 0.800 0.278 0.904
F 0.811 0.731 0.904
F 0.257 0.767 0.748
F 0.189 0.269 0.096
F 0.700 0.778 0.596
F 0.743 0.233 0.252
F 0.311 0.769 0.404
F 0.757 0.733 0.248
F 0.200 0.722 0.096
F 0.243 0.267 0.752
K 0.500 0.000 0.000
K 0.000 0.500 0.500
Cu 0.500 0.000 0.500
Cu 0.000 0.500 0.000
Ag 0.012 0.992 0.219
Ag 0.488 0.492 0.281
Ag 0.988 0.008 0.781
Ag 0.512 0.508 0.719

5.
Computed, not measured: a relaxed structure of KCuAgF6 at the GGA-PBE level of DFT.

SG: P1
Total magnetic moment in μB/f.u.: 3.05
Formation energy from raw total energies in eV per atom: -1.6437

Cell: 5.743 5.592 5.487 Å, 89.58 89.20 59.10°
Fractional coordinates of all 9 atoms:
F 0.054 0.605 0.708
F 0.609 0.032 0.296
F 0.616 0.355 0.684
F 0.359 0.031 0.704
F 0.029 0.355 0.315
F 0.340 0.606 0.293
Cu 0.332 0.337 0.500
Ag 0.664 0.674 0.500
K 0.997 0.006 0.000

6.
Computed, not measured: a relaxed structure of LaCuAg2F8 at the GGA-PBE level of DFT.

SG: P-1
Total magnetic moment in μB/f.u.: 0.06
Formation energy from raw total energies in eV per atom: -2.1939

Cell: 4.121 5.452 8.169 Å, 91.88 89.57 92.74°
Fractional coordinates of all 12 atoms:
F 0.040 0.655 0.319
F 0.656 0.763 0.035
F 0.502 0.780 0.562
F 0.957 0.138 0.210
F 0.498 0.220 0.438
F 0.344 0.237 0.965
F 0.960 0.345 0.681
F 0.043 0.862 0.790
Ag 0.473 0.512 0.772
Ag 0.527 0.488 0.228
La 0.000 0.000 0.500
Cu 0.000 0.000 0.000

7.
Computed, not measured: a relaxed structure of LiCuAgF5 at the GGA-PBE level of DFT.

SG: C2/c
Total magnetic moment in μB/f.u.: 0.00
Formation energy from raw total energies in eV per atom: -1.6702

Cell: 5.672 5.672 11.096 Å, 124.07 124.07 86.42°
Fractional coordinates of all 16 atoms:
F 0.798 0.639 0.436
F 0.132 0.386 0.235
F 0.202 0.361 0.564
F 0.141 0.859 0.250
F 0.614 0.868 0.265
F 0.361 0.202 0.064
F 0.639 0.798 0.936
F 0.386 0.132 0.735
F 0.868 0.614 0.765
F 0.859 0.141 0.750
Cu 0.621 0.379 0.750
Cu 0.379 0.621 0.250
Li 0.000 0.000 0.500
Li 0.000 0.000 0.000
Ag 0.850 0.150 0.250
Ag 0.150 0.850 0.750

8.
Computed, not measured: a relaxed structure of Li2CuAgF4 at the GGA-PBE level of DFT.

SG: Cmcm
Total magnetic moment in μB/f.u.: 0.00
Formation energy from raw total energies in eV per atom: -1.9685

Cell: 2.968 5.720 11.854 Å, 90.00 90.00 105.04°
Fractional coordinates of all 16 atoms:
Ag 0.928 0.857 0.250
Ag 0.072 0.143 0.750
Li 0.627 0.254 0.473
Li 0.373 0.746 0.973
Li 0.373 0.746 0.527
Li 0.627 0.254 0.027
F 0.000 0.000 0.000
F 0.000 0.000 0.500
F 0.759 0.518 0.908
F 0.241 0.482 0.408
F 0.591 0.182 0.250
F 0.759 0.518 0.592
F 0.409 0.818 0.750
F 0.241 0.482 0.092
Cu 0.237 0.475 0.250
Cu 0.763 0.525 0.750

9.
Computed, not measured: a relaxed structure of Li2CuAg2F6 at the GGA-PBE level of DFT.

SG: C2/m
Total magnetic moment in μB/f.u.: 1.01
Formation energy from raw total energies in eV per atom: -1.8202

Cell: 5.174 5.174 6.334 Å, 102.27 102.27 116.16°
Fractional coordinates of all 11 atoms:
F 0.071 0.399 0.679
F 0.929 0.601 0.321
F 0.737 0.737 0.710
F 0.263 0.263 0.290
F 0.601 0.929 0.321
F 0.399 0.071 0.679
Li 0.659 0.341 0.500
Li 0.341 0.659 0.500
Cu 0.000 0.000 0.500
Ag 0.818 0.182 0.000
Ag 0.182 0.818 0.000

10.
Computed, not measured: a relaxed structure of LiCuAgF6 at the GGA-PBE level of DFT.

SG: P-31c
Total magnetic moment in μB/f.u.: 0.99
Formation energy from raw total energies in eV per atom: -1.6651

Cell: 5.139 5.139 9.547 Å, 90.00 90.00 120.00°
Fractional coordinates of all 18 atoms:
F 0.340 0.980 0.138
F 0.360 0.340 0.862
F 0.640 0.660 0.138
F 0.980 0.340 0.638
F 0.980 0.640 0.862
F 0.660 0.020 0.862
F 0.020 0.360 0.138
F 0.340 0.360 0.362
F 0.660 0.640 0.638
F 0.360 0.020 0.638
F 0.640 0.980 0.362
F 0.020 0.660 0.362
Ag 0.000 0.000 0.500
Ag 0.000 0.000 0.000
Li 0.667 0.333 0.250
Li 0.333 0.667 0.750
Cu 0.333 0.667 0.250
Cu 0.667 0.333 0.750